MgZrMn2, relaxed, DFT PBE; theoretical density = 5.729 g cm⁻³; DFT formation energy = 0.1656 eV per atom
1.0
4.3886 0.0000 0.0000
0.0000 4.3886 0.0000
0.0000 0.0000 3.3920
Mg Zr Mn
1 1 2
direct
0.0000 0.0000 0.0000
0.5000 0.5000 0.0000
0.0000 0.5000 0.5000
0.5000 0.0000 0.5000

***

MgZr2Mn, relaxed, DFT PBE; theoretical density = 5.586 g cm⁻³; DFT formation energy = 0.1133 eV per atom
1.0
-1.7420 2.5143 4.4400
1.7420 -2.5143 4.4400
1.7420 2.5143 -4.4400
Mg Zr Mn
1 2 1
direct
0.0000 0.0000 0.0000
0.2951 0.7951 0.5000
0.7049 0.2049 0.5000
0.5000 0.5000 0.0000

***

Mg6ZrMn, relaxed, DFT PBE; theoretical density = 2.836 g cm⁻³; distance to the lowest polymorph of the same formula = 26 meV/atom; DFT formation energy = 0.1438 eV per atom
1.0
4.9841 0.0000 0.0000
0.0000 3.0306 5.6593
0.0000 -3.0306 5.6593
Mg Zr Mn
6 1 1
direct
0.0000 0.0000 0.0000
0.0000 0.4801 0.4801
0.0000 0.5002 0.9990
0.0000 0.9990 0.5002
0.5000 0.3419 0.8413
0.5000 0.8413 0.3419
0.5000 0.8450 0.8450
0.5000 0.3278 0.3278

***

Mg6ZrMn, relaxed, DFT PBE; theoretical density = 2.843 g cm⁻³; distance to the lowest polymorph of the same formula = 0 meV/atom; DFT formation energy = 0.1176 eV per atom
1.0
4.9184 0.0000 0.0000
0.0000 3.0909 5.6097
0.0000 -3.0909 5.6097
Mg Zr Mn
6 1 1
direct
0.0000 0.0000 0.0000
0.0000 0.0094 0.4959
0.0000 0.4959 0.0094
0.5000 0.3553 0.8433
0.5000 0.8412 0.8412
0.5000 0.8433 0.3553
0.5000 0.3637 0.3637
0.0000 0.4877 0.4877

***

Question: DFT formation energy of number 4 (Mg6ZrMn)?
Answer: 0.1176 eV per atom

***

Copy entry 2 word for word.
MgZr2Mn, relaxed, DFT PBE; theoretical density = 5.586 g cm⁻³; DFT formation energy = 0.1133 eV per atom
1.0
-1.7420 2.5143 4.4400
1.7420 -2.5143 4.4400
1.7420 2.5143 -4.4400
Mg Zr Mn
1 2 1
direct
0.0000 0.0000 0.0000
0.2951 0.7951 0.5000
0.7049 0.2049 0.5000
0.5000 0.5000 0.0000